1.
# Zn3Ag4Au5

An optimized crystal structure of Zn3Ag4Au5 (PBE, Alexandria).

```
12
Lattice="-3.7597 -2.9866 -0.7370 0.9516 -5.4599 1.2611 -3.0049 -2.4914 9.4159" Properties=species:S:1:pos:R:3 pbc="T T T"
Ag -0.6461 -3.4329 1.1977
Ag -5.1669 -7.5050 8.7423
Ag -4.1443 -3.5291 3.4237
Ag -1.6687 -7.4088 6.5163
Zn -1.0266 -3.9757 5.3385
Zn -4.5234 -3.7581 6.2853
Zn -1.2896 -7.1799 3.6547
Au -2.8405 -2.3537 8.0190
Au -3.4066 -5.5385 7.8028
Au -2.4064 -5.3994 2.1372
Au -2.9725 -8.5842 1.9209
Au -2.9065 -5.4690 4.9700
```

## Properties
Crystal system: monoclinic
Energy of formation from the pure elements: 79 meV/atom



2.
# BaMg2HgH

An optimized crystal structure of BaMg2HgH (PBE, Alexandria).

```
10
Lattice="-0.7807 0.4819 -4.3487 1.4436 -6.5374 1.2875 -8.0896 -1.5339 1.2823" Properties=species:S:1:pos:R:3 pbc="T T T"
Mg -3.2587 -4.6237 -2.1985
Mg -7.2610 -3.5520 0.9099
Mg -4.1680 -2.9655 0.4196
Mg -0.1657 -4.0373 -2.6888
H 0.0000 0.0000 0.0000
H -4.0448 -0.7669 0.6412
Hg -5.9642 -3.8585 -1.6280
Hg -1.4625 -3.7308 -0.1509
Ba -2.3167 -0.7169 -1.9347
Ba -5.1100 -6.8724 0.1558
```

## Properties
VASP energy: -20.59 eV for the cell shown
Crystal system: orthorhombic



3.
# U2CuSi4Os3

An optimized crystal structure of U2CuSi4Os3 (PBE, Alexandria).

```
10
Lattice="-2.4175 -2.7856 -1.5746 2.0520 0.1646 -3.4417 6.2514 -7.3339 3.3765" Properties=species:S:1:pos:R:3 pbc="T T T"
Os 4.1859 -7.7216 2.1264
Os 3.1257 -3.6670 1.6882
Os 1.8828 -0.9228 -1.2581
Si 0.0000 0.0000 0.0000
Si -0.1827 -1.3105 -2.5081
Si 3.3345 -2.6259 -0.4740
Si 2.7342 -6.0185 1.3423
U 0.3186 -3.1846 0.0376
U 5.7501 -5.4598 0.8307
Cu 2.9430 -4.9774 -0.8199
```

## Properties
Crystal system: tetragonal
Formation energy without anion corrections: -345 meV per atom



4.
# Tb2Nd6Tm3Sc

An optimized crystal structure of Tb2Nd6Tm3Sc (PBE, Alexandria).

```
12
Lattice="-4.6091 3.0857 -2.8154 -1.1361 -5.4709 2.7330 -0.4877 6.2306 9.9138" Properties=species:S:1:pos:R:3 pbc="T T T"
Tb -2.2937 -2.6188 0.8836
Tb -3.4514 0.2335 -0.9659
Nd -0.9717 -0.4513 3.3678
Nd -1.7903 4.0837 7.4184
Nd -4.4426 -0.2384 2.4131
Nd -4.1138 1.4696 8.2968
Nd -5.2613 4.2965 6.4637
Nd -2.1191 2.3757 1.5347
Tm -3.1165 1.9226 4.9157
Tm -4.2742 4.7750 3.0661
Tm -1.9587 -0.9298 6.7654
Sc 0.0000 0.0000 0.0000
```

## Properties
Crystal system: monoclinic
Energy of formation from the pure elements: 24 meV/atom



5.
# Sn3PdPb

An optimized crystal structure of Sn3PdPb (PBE, Alexandria).

```
5
Lattice="5.7449 0.0000 0.0000 0.0000 5.7449 0.0000 0.0000 0.0000 5.7449" Properties=species:S:1:pos:R:3 pbc="T T T"
Pd 2.8725 2.8725 2.8725
Sn 0.0000 0.0000 2.8725
Sn 0.0000 2.8725 0.0000
Sn 2.8725 0.0000 0.0000
Pb 0.0000 0.0000 0.0000
```

## Properties
Crystal system: cubic
Energy relative to the lowest polymorph listed for this composition: 0.984 eV per atom
Energy of formation from the pure elements: 1028 meV/atom



6.
# PmPr2Ni

An optimized crystal structure of PmPr2Ni (PBE, Alexandria).

```
4
Lattice="3.7223 0.0000 0.0000 1.8612 3.2236 0.0000 1.8612 1.0745 10.6218" Properties=species:S:1:pos:R:3 pbc="T T T"
Ni 3.7223 2.1491 5.3109
Pr 5.5835 3.2236 3.5326
Pr 1.8612 1.0745 7.0892
Pm 0.0000 0.0000 0.0000
```

## Properties
Crystal system: trigonal
Energy relative to the lowest polymorph listed for this composition: 0.287 eV per atom
Energy of formation from the pure elements: 123 meV/atom



7.
# AcLuTe2

An optimized crystal structure of AcLuTe2 (PBE, Alexandria).

```
4
Lattice="4.5738 0.0000 0.0000 2.2869 3.9610 0.0000 2.2869 1.3203 9.8316" Properties=species:S:1:pos:R:3 pbc="T T T"
Ac 4.5738 2.6407 4.9158
Te 6.8607 3.9610 2.9363
Te 2.2869 1.3203 6.8953
Lu 0.0000 0.0000 0.0000
```

## Properties
Crystal system: trigonal
Energy relative to the lowest polymorph listed for this composition: 0.313 eV per atom
Formation energy without anion corrections: -831 meV per atom



8.
# Ac2MgZn3Ge4

An optimized crystal structure of Ac2MgZn3Ge4 (PBE, Alexandria).

```
10
Lattice="-2.3590 1.6551 3.5625 -0.5772 -4.2565 1.5954 8.8859 0.8521 5.4882" Properties=species:S:1:pos:R:3 pbc="T T T"
Mg 2.9749 -0.8746 5.3230
Ac 0.9132 1.0282 3.0737
Ac 6.5046 -1.4768 4.9934
Ge 0.0000 0.0000 0.0000
Ge 2.9067 -1.8218 2.7712
Ge 4.5111 1.3733 5.2959
Ge -1.4681 -1.3007 2.5789
Zn 0.7654 -2.0272 1.4487
Zn 6.6524 1.5786 6.6184
Zn 4.4429 0.4261 2.7441
```

## Properties
Crystal system: tetragonal
Energy of formation from the pure elements: -460 meV/atom



9.
# Np2Sb7Pd12

An optimized crystal structure of Np2Sb7Pd12 (PBE, Alexandria).

```
21
Lattice="-2.8227 -2.6357 1.8166 -3.9770 -2.3174 -9.5420 7.9461 -5.7728 3.9714" Properties=species:S:1:pos:R:3 pbc="T T T"
Sb -1.9426 -4.4249 -6.7543
Sb 0.0421 -4.9777 0.1858
Sb 2.5830 -8.3745 -0.7946
Sb 1.1043 -5.7482 -3.9399
Sb -1.4366 -2.3513 -2.9595
Sb 3.0890 -6.3010 3.0002
Sb -1.4114 -1.3178 0.9083
Pd -2.0971 -3.4716 -0.4824
Pd 0.0480 -6.0942 -6.3472
Pd 0.9657 -2.3402 0.3189
Pd 0.6181 -3.8425 -2.1943
Pd -2.7181 -2.3795 -5.2556
Pd 5.8364 -6.0142 2.5566
Pd 0.1807 -8.3857 -4.0730
Pd 3.2435 -7.2543 -3.2716
Pd -4.6900 -4.7117 -6.3107
Pd 3.8646 -8.3463 1.5015
Pd 0.5283 -6.8833 -1.5598
Pd 1.0984 -4.6316 2.5931
Np 3.3087 -5.2401 -0.1064
Np -2.1622 -5.4857 -3.6477
```

## Properties
Crystal system: trigonal
Formation energy without anion corrections: -432 meV per atom



10.
# K2InOs

An optimized crystal structure of K2InOs (PBE, Alexandria).

```
4
Lattice="5.7536 0.0000 0.0000 0.0000 2.9080 0.1255 0.0000 2.2759 5.9887" Properties=species:S:1:pos:R:3 pbc="T T T"
Os 2.8768 1.2960 1.5286
K 0.0000 0.0405 0.0630
K 0.0000 2.5515 2.9941
In 2.8768 3.8880 4.5857
```

## Properties
Crystal system: monoclinic
Energy of formation from the pure elements: 979 meV/atom



11.
# AcAlCd3

An optimized crystal structure of AcAlCd3 (PBE, Alexandria).

```
5
Lattice="4.3082 -0.4030 1.8186 -0.3644 4.3116 1.8186 -0.3372 -0.3342 6.7059" Properties=species:S:1:pos:R:3 pbc="T T T"
Cd 3.9013 3.8666 3.7318
Cd 3.3990 1.0469 4.2496
Cd 1.0772 3.3895 4.2496
Ac 2.1269 2.1080 7.4882
Al 0.6579 0.6521 4.5926
```

## Properties
Crystal system: monoclinic
Energy relative to the lowest polymorph listed for this composition: 0.000 eV per atom
Energy of formation from the pure elements: -288 meV/atom



12.
# SmErC

An optimized crystal structure of SmErC (PBE, Alexandria).

```
6
Lattice="-3.1231 1.6193 -0.8084 -2.5494 -2.3048 5.2324 3.5190 6.6211 -0.3321" Properties=species:S:1:pos:R:3 pbc="T T T"
Er -3.3090 1.3312 3.3622
Er 1.1555 4.6043 0.7297
C -0.9573 1.9550 3.5851
C -1.1962 3.9806 0.5069
Sm -1.6617 4.3164 2.9779
Sm -0.4918 1.6192 1.1140
```

## Properties
Crystal system: monoclinic
Energy relative to the lowest polymorph listed for this composition: 0.000 eV per atom
Energy of formation from the pure elements: -230 meV/atom



13.
# CrCuRu2

An optimized crystal structure of CrCuRu2 (PBE, Alexandria).

```
4
Lattice="2.6060 0.0016 0.0000 -1.1213 2.3525 0.0000 0.0000 0.0000 8.7007" Properties=species:S:1:pos:R:3 pbc="T T T"
Ru 0.0000 0.0000 0.0942
Ru 0.0000 0.0000 4.2562
Cr 0.7424 1.1770 2.1752
Cu 0.7424 1.1770 6.5256
```

## Properties
Crystal system: orthorhombic
Energy of formation from the pure elements: 301 meV/atom



14.
# Er3ScSn2C

An optimized crystal structure of Er3ScSn2C (PBE, Alexandria).

```
7
Lattice="-4.4077 1.0985 -0.2389 -0.3232 -0.2747 4.7009 4.2351 7.2147 -1.6569" Properties=species:S:1:pos:R:3 pbc="T T T"
Er -1.0860 5.6308 2.6239
Er 0.5903 2.4078 0.1813
Er -0.1616 -0.1373 2.3505
Sn 1.3468 5.4938 0.4136
Sn -1.8426 2.5448 2.3916
Sc -2.2038 0.5493 -0.1194
C 0.0000 0.0000 0.0000
```

## Properties
Crystal system: orthorhombic
Energy of formation from the pure elements: -734 meV/atom



15.
# Li2Ac3Zn9

An optimized crystal structure of Li2Ac3Zn9 (PBE, Alexandria).

```
14
Lattice="4.5149 0.0000 1.2127 1.5851 7.9490 3.1097 0.0967 0.7228 8.6508" Properties=species:S:1:pos:R:3 pbc="T T T"
Zn 2.0266 2.4252 1.4659
Zn 1.5349 4.7408 3.2966
Zn 5.3008 7.0333 7.2977
Zn 0.8409 4.3359 5.8803
Zn 4.1701 6.2465 11.5073
Zn 0.8959 1.6385 5.6755
Zn 1.5924 0.3171 3.0824
Zn 4.6618 3.9310 9.6766
Zn 4.6043 8.3546 9.8908
Ac 2.5133 6.1267 8.6648
Ac 0.0000 0.0000 0.0000
Ac 3.6834 2.5451 4.3084
Li 3.3753 5.6806 5.4554
Li 2.8214 2.9911 7.5178
```

## Properties
Crystal system: orthorhombic
Energy of formation from the pure elements: -261 meV/atom



16.
# EuErIrRh

An optimized crystal structure of EuErIrRh (PBE, Alexandria).

```
4
Lattice="-1.9511 2.9144 3.3877 -4.5491 -0.7893 1.5683 -0.7660 -1.6797 4.5132" Properties=species:S:1:pos:R:3 pbc="T T T"
Ir 0.0000 0.0000 0.0000
Eu -5.4497 0.3340 7.1019
Er -1.8166 0.1113 2.3673
Rh -3.6331 0.2226 4.7346
```

## Properties
Crystal system: cubic
Energy of formation from the pure elements: -565 meV/atom



17.
# YTa2In

An optimized crystal structure of YTa2In (PBE, Alexandria).

```
4
Lattice="-1.0208 2.9675 -3.2252 -1.5239 -2.1909 -1.5335 -6.2605 0.0840 2.0587" Properties=species:S:1:pos:R:3 pbc="T T T"
In -6.5133 -0.1140 -1.1827
Ta -0.1893 -0.1883 -0.1134
Ta -2.2607 1.0755 -1.4342
Y -3.7340 -0.9661 0.2929
```

## Properties
Crystal system: monoclinic
Energy of formation from the pure elements: 186 meV/atom



18.
# Pm3DyEr6Tm2

An optimized crystal structure of Pm3DyEr6Tm2 (PBE, Alexandria).

```
12
Lattice="-2.1254 4.7064 3.3153 -0.8675 -5.7564 1.9415 10.9683 0.7910 4.0180" Properties=species:S:1:pos:R:3 pbc="T T T"
Er 2.1655 -1.8112 2.0690
Er 7.5152 0.3322 4.3506
Er 1.7460 1.6780 2.5271
Er 0.4603 -0.5912 4.9242
Er 6.2294 -1.9370 6.7477
Er 5.8099 1.5522 7.2059
Pm 4.4069 -3.6166 4.1796
Pm 3.9877 -0.1295 4.6374
Pm 3.5685 3.3576 5.0953
Tm -1.2868 -2.2689 2.3994
Tm -1.7061 1.2189 2.8574
Dy 0.0000 0.0000 0.0000
```

## Properties
Crystal system: monoclinic
Energy of formation from the pure elements: 22 meV/atom



19.
# Sm4MgAl

An optimized crystal structure of Sm4MgAl (PBE, Alexandria).

```
6
Lattice="3.5038 0.0000 1.0134 2.1884 6.6315 -1.0025 -0.4670 -3.0900 8.1781" Properties=species:S:1:pos:R:3 pbc="T T T"
Al 2.6126 1.7708 4.0945
Sm 3.6632 0.8565 7.0258
Sm 1.0231 -0.8125 3.0263
Sm 4.2020 4.3540 5.1628
Sm 1.5620 2.6850 1.1633
Mg 0.0000 0.0000 0.0000
```

## Properties
Crystal system: monoclinic
Energy relative to the lowest polymorph listed for this composition: 0.000 eV per atom
Energy of formation from the pure elements: -126 meV/atom



20.
# ScTi2Pd8

An optimized crystal structure of ScTi2Pd8 (PBE, Alexandria).

```
11
Lattice="3.9182 0.0000 -1.1898 -0.8803 6.5187 -2.8992 0.0721 -0.7142 7.2840" Properties=species:S:1:pos:R:3 pbc="T T T"
Pd 1.2722 0.2876 4.1896
Pd -0.2689 1.9911 -0.8855
Pd -0.6114 4.5276 -2.0136
Pd 1.8377 5.5169 -0.9945
Pd 2.2259 2.6428 0.2837
Pd 2.6282 5.0339 1.6087
Pd 0.4817 0.7706 1.5864
Pd 0.8840 3.1617 2.9114
Ti 0.1703 4.2360 0.5610
Ti 2.9396 1.5685 2.6341
Sc 1.9591 0.0000 -0.5949
```

## Properties
Crystal system: orthorhombic
Energy relative to the lowest polymorph listed for this composition: 0.036 eV per atom
Energy of formation from the pure elements: -617 meV/atom



21.
# Li3ZnPd4

An optimized crystal structure of Li3ZnPd4 (PBE, Alexandria).

```
8
Lattice="4.1146 0.0000 -1.1107 -0.2953 4.1084 -1.0940 -0.3992 -0.4557 6.6979" Properties=species:S:1:pos:R:3 pbc="T T T"
Pd 1.1293 1.1953 4.1837
Pd 0.3811 0.4035 1.4117
Pd 2.2907 2.4574 0.3095
Pd 3.0390 3.2492 3.0815
Li 2.8156 0.8024 2.2541
Li 0.6044 2.8503 2.2392
Li -0.1477 2.0542 -0.5470
Zn 2.0573 0.0000 -0.5553
```

## Properties
Crystal system: tetragonal
Energy relative to the lowest polymorph listed for this composition: 0.000 eV per atom
Energy of formation from the pure elements: -500 meV/atom



22.
# LiCaGe2

An optimized crystal structure of LiCaGe2 (PBE, Alexandria).

```
4
Lattice="0.0000 3.4620 3.4620 3.4620 0.0000 3.4620 3.4620 3.4620 0.0000" Properties=species:S:1:pos:R:3 pbc="T T T"
Ge 5.1930 5.1930 5.1930
Ge 1.7310 1.7310 1.7310
Li 0.0000 0.0000 0.0000
Ca 3.4620 3.4620 3.4620
```

## Properties
Crystal system: cubic
Energy relative to the lowest polymorph listed for this composition: 0.215 eV per atom
Energy of formation from the pure elements: -298 meV/atom



23.
# Y2PaB6

An optimized crystal structure of Y2PaB6 (PBE, Alexandria).

```
9
Lattice="-0.2621 3.7455 1.1762 -3.3389 1.1582 -4.4323 -2.2845 -1.6992 4.9020" Properties=species:S:1:pos:R:3 pbc="T T T"
B -1.6621 0.7339 3.8734
B -4.6533 0.9498 2.5195
B -1.9856 1.6943 0.7430
B -3.8998 1.5102 0.9028
B -1.2322 2.2547 -0.8737
B -4.2233 2.4706 -2.2276
Y -3.2495 3.9512 -0.1447
Y -2.6359 -0.7467 1.7905
Pa 0.0000 0.0000 0.0000
```

## Properties
Crystal system: hexagonal
Energy of formation from the pure elements: -553 meV/atom



24.
# BaAs2Ru

An optimized crystal structure of BaAs2Ru (PBE, Alexandria).

```
4
Lattice="4.3779 0.0000 0.0000 0.0000 4.0946 -0.0075 0.0000 2.0584 6.3582" Properties=species:S:1:pos:R:3 pbc="T T T"
Ru 2.1890 5.3848 6.3414
As 0.0000 5.3840 5.4545
As 2.1890 1.2816 1.2519
Ba 0.0000 3.3320 2.8292
```

## Properties
Crystal system: orthorhombic
Energy of formation from the pure elements: -403 meV/atom



25.
# Zr3BiAs

An optimized crystal structure of Zr3BiAs (PBE, Alexandria).

```
10
Lattice="-1.6941 -3.7693 -0.5087 6.3702 -2.3476 -3.8230 4.4735 -2.7857 5.7386" Properties=species:S:1:pos:R:3 pbc="T T T"
Zr 5.2562 -6.2223 -0.8187
Zr 4.5568 -6.3842 2.7076
Zr 1.6701 -5.1933 3.4970
Zr 3.7322 -3.4625 0.8423
Zr 2.8675 -4.9163 -2.5402
Zr -0.2832 -1.5622 0.1329
Bi 0.8772 -4.3968 0.2333
Bi 7.1450 -5.0774 1.4444
As 3.9606 -3.9042 3.3572
As 4.9085 -3.6845 -1.4246
```

## Properties
Crystal system: orthorhombic
Energy relative to the lowest polymorph listed for this composition: 0.000 eV per atom
Energy of formation from the pure elements: -434 meV/atom